Computed, not measured: a geometry-optimized Tm2ScCd structure at the PBE-GGA level of DFT.

Results
**Energy relative to the elements**: -55 meV per atom
**Spin magnetization**: 0.7 μB/f.u.
**Crystal system**: trigonal
**Energy above the lowest structure with this stoichiometry**: 79 meV per atom
**DFT total energy**: -16.41 eV per cell
**Space-group type**: No. 160

Cell: 3.4798 3.4798 10.5756 Å, 80.53 80.53 60.00°
Last column: nearest neighbours and their distance in Å.
Atoms (fractional coordinates):
Tm 0.0813 0.0813 0.7561  3 Cd 3.23, 3 Sc 3.33, 6 Tm 3.48
Tm 0.2521 0.2521 0.2437  3 Cd 3.23, 3 Sc 3.34, 6 Tm 3.48
Sc 0.5000 0.5000 0.5001  6 Tm 3.33-3.34, 6 Sc 3.48
Cd 0.6666 0.6666 0.0001  6 Tm 3.23, 6 Cd 3.48

Computed, not measured: a geometry-optimized TmScCd structure at the PBE-GGA level of DFT.

Results
**Energy relative to the elements**: 134 meV per atom
**Spin magnetization**: 0.0 μB/f.u.
**Crystal system**: cubic
**Energy above the lowest structure with this stoichiometry**: 310 meV per atom
**DFT total energy**: -11.32 eV per cell
**Space-group type**: No. 216

Cell: 4.9600 4.9583 4.9583 Å, 60.00 59.99 59.99°
Last column: nearest neighbours and their distance in Å.
Atoms (fractional coordinates):
Tm 0.2501 0.2499 0.2499  4 Cd 3.04
Sc 0.7500 0.7500 0.7500  4 Cd 3.04
Cd 0.0000 0.0000 0.0000  4 Sc 3.04, 4 Tm 3.04

Computed, not measured: a geometry-optimized Tm5ScCd6 structure at the PBE-GGA level of DFT.

Results
**Energy relative to the elements**: -305 meV per atom
**Spin magnetization**: 0.0 μB/f.u.
**Crystal system**: monoclinic
**DFT total energy**: -37.84 eV per cell
**Space-group type**: No. 10

Cell: 5.1803 7.3438 8.2078 Å, 90.00 71.78 90.00°
Last column: nearest neighbours and their distance in Å.
Atoms (fractional coordinates):
Sc 0.0000 0.0000 0.0000  8 Cd 3.12-3.15
Tm 0.6683 0.5000 0.6636  8 Cd 3.20-3.23
Tm 0.3337 0.0000 0.3325  8 Cd 3.15-3.21
Tm 0.0000 0.5000 0.0000  8 Cd 3.16-3.20
Tm 0.6663 0.0000 0.6675  8 Cd 3.15-3.21
Tm 0.3317 0.5000 0.3364  8 Cd 3.20-3.23
Cd 0.8365 0.7549 0.3269  1 Sc 3.12, 7 Tm 3.15-3.22
Cd 0.8365 0.2451 0.3269  1 Sc 3.12, 7 Tm 3.15-3.22
Cd 0.5000 0.2438 0.0000  2 Sc 3.15, 6 Tm 3.15-3.23
Cd 0.5000 0.7562 0.0000  2 Sc 3.15, 6 Tm 3.15-3.23
Cd 0.1635 0.7549 0.6731  1 Sc 3.12, 7 Tm 3.15-3.22
Cd 0.1635 0.2451 0.6731  1 Sc 3.12, 7 Tm 3.15-3.22

Computed, not measured: a geometry-optimized TmSc2Cd9 structure at the PBE-GGA level of DFT.

Results
**Energy relative to the elements**: -210 meV per atom
**Spin magnetization**: 0.0 μB/f.u.
**Crystal system**: tetragonal
**DFT total energy**: -27.89 eV per cell
**Space-group type**: No. 123

Cell: 4.5554 4.5554 12.9885 Å, 90.00 90.00 90.00°
Last column: nearest neighbours and their distance in Å.
Atoms (fractional coordinates):
Tm 0.0000 0.0000 0.0000  12 Cd 3.20-3.22
Sc 0.0000 0.0000 0.3378  12 Cd 3.10-3.22
Sc 0.0000 0.0000 0.6622  12 Cd 3.10-3.22
Cd 0.5000 0.5000 0.0000  8 Cd 3.20, 4 Tm 3.22
Cd 0.5000 0.5000 0.3377  8 Cd 3.10-3.12, 4 Sc 3.22
Cd 0.5000 0.5000 0.6623  8 Cd 3.10-3.12, 4 Sc 3.22
Cd 0.5000 0.0000 0.1734  8 Cd 3.12-3.22, 2 Sc 3.12, 2 Tm 3.20
Cd 0.5000 0.0000 0.5000  4 Sc 3.10, 8 Cd 3.10-3.22
Cd 0.5000 0.0000 0.8266  8 Cd 3.12-3.22, 2 Sc 3.12, 2 Tm 3.20
Cd 0.0000 0.5000 0.1734  8 Cd 3.12-3.22, 2 Sc 3.12, 2 Tm 3.20
Cd 0.0000 0.5000 0.5000  4 Sc 3.10, 8 Cd 3.10-3.22
Cd 0.0000 0.5000 0.8266  8 Cd 3.12-3.22, 2 Sc 3.12, 2 Tm 3.20

Computed, not measured: a geometry-optimized Tm4ScCd structure at the PBE-GGA level of DFT.

Results
**Energy relative to the elements**: 390 meV per atom
**Spin magnetization**: 0.0 μB/f.u.
**Crystal system**: tetragonal
**Energy above the lowest structure with this stoichiometry**: 463 meV per atom
**DFT total energy**: -22.79 eV per cell
**Space-group type**: No. 123

Cell: 5.1593 5.1598 7.1850 Å, 89.98 89.98 90.00°
Last column: nearest neighbours and their distance in Å.
Atoms (fractional coordinates):
Tm 0.5013 0.9971 0.2513  2 Cd 3.13, 2 Sc 3.16
Tm 0.5013 0.9975 0.7449  2 Cd 3.13, 2 Sc 3.16
Tm 0.0014 0.4973 0.7449  2 Cd 3.13, 2 Sc 3.16
Tm 0.0012 0.4973 0.2514  2 Cd 3.13, 2 Sc 3.16
Sc 0.5013 0.4973 0.9982  8 Tm 3.16
Cd 0.0013 0.9973 0.4982  8 Tm 3.13

Computed, not measured: a geometry-optimized TmScCd4 structure at the PBE-GGA level of DFT.

Results
**Energy relative to the elements**: -257 meV per atom
**Spin magnetization**: 0.0 μB/f.u.
**Crystal system**: orthorhombic
**Energy above the lowest structure with this stoichiometry**: 0 meV per atom
**DFT total energy**: -16.01 eV per cell
**Space-group type**: No. 47

Cell: 3.3050 4.9125 9.1212 Å, 90.00 111.27 90.00°
Last column: nearest neighbours and their distance in Å.
Atoms (fractional coordinates):
Tm 0.5013 0.4973 0.9981  12 Cd 3.29-3.30, 2 Tm 3.31
Sc 0.0013 0.9972 0.4981  12 Cd 3.25-3.27, 2 Sc 3.31
Cd 0.1720 0.9972 0.1685  3 Cd 2.83-2.90
Cd 0.8304 0.9974 0.8278  3 Cd 2.83-2.90
Cd 0.6647 0.4974 0.6620  3 Cd 2.79-2.83
Cd 0.3380 0.4972 0.3343  3 Cd 2.79-2.83

Computed, not measured: a geometry-optimized Tm3ScCd structure at the PBE-GGA level of DFT.

Results
**Energy relative to the elements**: -22 meV per atom
**Spin magnetization**: 0.0 μB/f.u.
**Crystal system**: monoclinic
**DFT total energy**: -41.54 eV per cell
**Space-group type**: No. 12

Cell: 3.4232 7.9910 10.7530 Å, 107.20 99.16 90.00°
Last column: nearest neighbours and their distance in Å.
Atoms (fractional coordinates):
Tm 0.0146 0.2246 0.0292  4 Cd 3.23-3.38, 8 Tm 3.37-3.52
Tm 0.9854 0.7754 0.9708  4 Cd 3.23-3.38, 8 Tm 3.37-3.52
Tm 0.3764 0.9549 0.7528  3 Sc 3.31-3.39, 1 Cd 3.38, 8 Tm 3.42-3.52
Tm 0.6236 0.0451 0.2472  3 Sc 3.31-3.39, 1 Cd 3.38, 8 Tm 3.42-3.52
Tm 0.1770 0.4434 0.3541  2 Cd 3.23, 3 Sc 3.26-3.36, 7 Tm 3.37-3.49
Tm 0.8230 0.5566 0.6459  2 Cd 3.23, 3 Sc 3.26-3.36, 7 Tm 3.37-3.49
Sc 0.7322 0.8214 0.4644  1 Cd 3.20, 4 Sc 3.22-3.42, 6 Tm 3.26-3.39
Sc 0.2678 0.1786 0.5356  1 Cd 3.20, 4 Sc 3.22-3.42, 6 Tm 3.26-3.39
Cd 0.5791 0.6022 0.1582  1 Sc 3.20, 7 Tm 3.23-3.38, 3 Cd 3.26-3.42
Cd 0.4209 0.3978 0.8418  1 Sc 3.20, 7 Tm 3.23-3.38, 3 Cd 3.26-3.42

Computed, not measured: a geometry-optimized Tm2ScCd structure at the PBE-GGA level of DFT.

Results
**Energy relative to the elements**: 156 meV per atom
**Spin magnetization**: 0.0 μB/f.u.
**Crystal system**: trigonal
**Energy above the lowest structure with this stoichiometry**: 290 meV per atom
**DFT total energy**: -15.57 eV per cell
**Space-group type**: No. 166

Cell: 3.3540 3.3540 11.8160 Å, 81.84 81.84 60.00°
Last column: nearest neighbours and their distance in Å.
Atoms (fractional coordinates):
Sc 0.5000 0.5000 0.5000  6 Tm 3.28, 6 Sc 3.35
Tm 0.0910 0.0910 0.7271  1 Cd 3.18, 3 Sc 3.28, 6 Tm 3.35
Tm 0.9090 0.9090 0.2729  1 Cd 3.18, 3 Sc 3.28, 6 Tm 3.35
Cd 0.0000 0.0000 0.0000  2 Tm 3.18, 6 Cd 3.35

Computed, not measured: a geometry-optimized TmSc8Cd2 structure at the PBE-GGA level of DFT.

Results
**Energy relative to the elements**: 71 meV per atom
**Spin magnetization**: 0.0 μB/f.u.
**Crystal system**: monoclinic
**DFT total energy**: -56.17 eV per cell
**Space-group type**: No. 12

Cell: 5.2345 8.2179 8.2228 Å, 60.02 77.40 64.12°
Last column: nearest neighbours and their distance in Å.
Atoms (fractional coordinates):
Tm 0.5000 0.0000 0.0000  8 Sc 3.09-3.37
Sc 0.8717 0.0964 0.2243  2 Cd 2.99-3.17, 5 Sc 3.09-3.33
Sc 0.8717 0.3207 0.7757  2 Cd 2.99-3.17, 5 Sc 3.09-3.33
Sc 0.2951 0.4141 0.0000  2 Sc 2.78-3.04, 2 Cd 3.09, 1 Tm 3.09
Sc 0.5000 0.7823 0.4354  2 Cd 2.91, 1 Tm 3.10
Sc 0.5000 0.2177 0.5646  2 Cd 2.91, 1 Tm 3.10
Sc 0.7049 0.5859 0.0000  2 Sc 2.78-3.04, 2 Cd 3.09, 1 Tm 3.09
Sc 0.1283 0.6793 0.2243  2 Cd 2.99-3.17, 5 Sc 3.09-3.33
Sc 0.1283 0.9036 0.7757  2 Cd 2.99-3.17, 5 Sc 3.09-3.33
Cd 0.0000 0.3066 0.3867  8 Sc 2.91-3.17
Cd 0.0000 0.6934 0.6133  8 Sc 2.91-3.17

Computed, not measured: a geometry-optimized Tm3Sc4Cd2 structure at the PBE-GGA level of DFT.

Results
**Energy relative to the elements**: -79 meV per atom
**Spin magnetization**: 0.0 μB/f.u.
**Crystal system**: monoclinic
**DFT total energy**: -41.28 eV per cell
**Space-group type**: No. 12

Cell: 4.5802 7.5437 7.2853 Å, 106.93 108.32 90.00°
Last column: nearest neighbours and their distance in Å.
Atoms (fractional coordinates):
Tm 0.8861 0.3344 0.7723  7 Sc 3.23-3.32, 3 Cd 3.27-3.33, 2 Tm 3.36-3.37
Tm 0.1139 0.6656 0.2277  7 Sc 3.23-3.32, 3 Cd 3.27-3.33, 2 Tm 3.36-3.37
Tm 0.0000 0.0000 0.0000  4 Cd 3.27, 6 Sc 3.29-3.32, 2 Tm 3.36
Sc 0.5603 0.3354 0.1207  4 Sc 3.20-3.39, 6 Tm 3.30-3.32, 2 Cd 3.30-3.40
Sc 0.7794 0.6698 0.5588  5 Sc 3.20-3.35, 4 Tm 3.23-3.30, 3 Cd 3.29-3.31
Sc 0.4397 0.6646 0.8793  4 Sc 3.20-3.39, 6 Tm 3.30-3.32, 2 Cd 3.30-3.40
Sc 0.2206 0.3302 0.4412  5 Sc 3.20-3.35, 4 Tm 3.23-3.30, 3 Cd 3.29-3.31
Cd 0.3314 0.9980 0.6627  2 Cd 3.22, 5 Tm 3.27-3.33, 5 Sc 3.29-3.40
Cd 0.6686 0.0020 0.3373  2 Cd 3.22, 5 Tm 3.27-3.33, 5 Sc 3.29-3.40

Computed, not measured: a geometry-optimized Tm2Sc3Cd4 structure at the PBE-GGA level of DFT.

Results
**Energy relative to the elements**: -142 meV per atom
**Spin magnetization**: 0.0 μB/f.u.
**Crystal system**: orthorhombic
**DFT total energy**: -65.75 eV per cell
**Space-group type**: No. 64

Cell: 6.4290 7.8859 9.3596 Å, 90.00 110.09 90.00°
Last column: nearest neighbours and their distance in Å.
Atoms (fractional coordinates):
Tm 0.0948 0.6038 0.1895  7 Cd 3.22-3.54, 3 Sc 3.46-3.54
Tm 0.9052 0.3962 0.8105  7 Cd 3.22-3.54, 3 Sc 3.46-3.54
Tm 0.4052 0.1038 0.8105  7 Cd 3.22-3.54, 3 Sc 3.46-3.54
Tm 0.5948 0.8962 0.1895  7 Cd 3.22-3.54, 3 Sc 3.46-3.54
Sc 0.0000 0.0000 0.0000  6 Cd 2.84-2.89
Sc 0.5000 0.5000 0.0000  6 Cd 2.84-2.89
Sc 0.5065 0.7500 0.5130  5 Cd 2.92-3.01, 2 Sc 3.21
Sc 0.9935 0.2500 0.4870  5 Cd 2.92-3.01, 2 Sc 3.21
Sc 0.4935 0.2500 0.4870  5 Cd 2.92-3.01, 2 Sc 3.21
Sc 0.0065 0.7500 0.5130  5 Cd 2.92-3.01, 2 Sc 3.21
Cd 0.6779 0.7500 0.8557  3 Sc 2.84-3.01, 2 Cd 3.11
Cd 0.8221 0.2500 0.1443  3 Sc 2.84-3.01, 2 Cd 3.11
Cd 0.3221 0.2500 0.1443  3 Sc 2.84-3.01, 2 Cd 3.11
Cd 0.1779 0.7500 0.8557  3 Sc 2.84-3.01, 2 Cd 3.11
Cd 0.1643 0.9816 0.3286  5 Sc 2.89-3.00, 2 Cd 3.11, 1 Tm 3.22
Cd 0.8357 0.0184 0.6714  5 Sc 2.89-3.00, 2 Cd 3.11, 1 Tm 3.22
Cd 0.3357 0.4816 0.6714  5 Sc 2.89-3.00, 2 Cd 3.11, 1 Tm 3.22
Cd 0.6643 0.5184 0.3286  5 Sc 2.89-3.00, 2 Cd 3.11, 1 Tm 3.22

Computed, not measured: a geometry-optimized Tm6Sc2Cd structure at the PBE-GGA level of DFT.

Results
**Energy relative to the elements**: 1 meV per atom
**Spin magnetization**: 0.0 μB/f.u.
**Crystal system**: tetragonal
**DFT total energy**: -80.80 eV per cell
**Space-group type**: No. 136

Cell: 4.8286 10.1667 10.1671 Å, 89.99 90.00 90.00°
Last column: nearest neighbours and their distance in Å.
Atoms (fractional coordinates):
Tm 0.0000 0.0026 0.1693  1 Cd 3.36, 3 Sc 3.38, 8 Tm 3.40-3.44
Tm 0.9999 0.6693 0.5024  1 Cd 3.36, 3 Sc 3.38, 8 Tm 3.40-3.44
Tm 0.9999 0.6591 0.8406  2 Cd 3.33, 4 Sc 3.35-3.44, 6 Tm 3.40-3.44
Tm 0.5001 0.1591 0.6594  2 Cd 3.33, 4 Sc 3.35-3.44, 6 Tm 3.40-3.44
Tm 0.5001 0.1693 0.9976  1 Cd 3.36, 3 Sc 3.38, 8 Tm 3.40-3.44
Tm 0.5000 0.5027 0.3308  1 Cd 3.36, 3 Sc 3.38, 8 Tm 3.40-3.44
Tm 0.0000 0.9974 0.8307  1 Cd 3.36, 3 Sc 3.38, 8 Tm 3.40-3.44
Tm 0.0001 0.3307 0.4976  1 Cd 3.36, 3 Sc 3.38, 8 Tm 3.40-3.44
Tm 0.0001 0.3409 0.1594  2 Cd 3.33, 4 Sc 3.35-3.44, 6 Tm 3.40-3.44
Tm 0.4999 0.8409 0.3406  2 Cd 3.33, 4 Sc 3.35-3.44, 6 Tm 3.40-3.44
Tm 0.4999 0.8307 0.0024  1 Cd 3.36, 3 Sc 3.38, 8 Tm 3.40-3.44
Tm 0.5000 0.4973 0.6692  1 Cd 3.36, 3 Sc 3.38, 8 Tm 3.40-3.44
Sc 0.0001 0.3298 0.8300  10 Tm 3.35-3.44, 2 Cd 3.44
Sc 0.4999 0.8298 0.6699  10 Tm 3.35-3.44, 2 Cd 3.44
Sc 0.5001 0.1702 0.3301  10 Tm 3.35-3.44, 2 Cd 3.44
Sc 0.9999 0.6702 0.1700  10 Tm 3.35-3.44, 2 Cd 3.44
Cd 0.5000 0.5000 0.0000  8 Tm 3.33-3.36, 4 Sc 3.44
Cd 0.0000 0.0000 0.5000  8 Tm 3.33-3.36, 4 Sc 3.44

Question: Number 9 is which compound?
Answer: TmSc8Cd2